1.
LaY2Cd | GGA-PBEsol | relaxed

## Properties
* DOS at the Fermi energy: 4.09 states/eV/f.u.
* formation energy from the elements: -0.11 eV/atom
* space group: Pmm2

Cell: 3.5777 4.6825 6.8494 Å, 90.00 90.00 90.00°
Fractional coordinates of all 4 atoms:
La1 0.0000 0.0000 0.0000
Y1 0.0000 0.0000 0.5286
Y2 0.5000 0.5000 0.2772
Cd1 0.5000 0.5000 0.7557



2.
LaY2Cd | GGA-PBEsol | relaxed

## Properties
* DOS at the Fermi energy: 3.81 states/eV/f.u.
* formation energy from the elements: -0.09 eV/atom
* space group: R-3m

Cell: 10.8852 10.8852 10.8852 Å, 18.86 18.86 18.86°
Fractional coordinates of all 4 atoms:
La1 0.0000 0.0000 0.0000
Y1 0.2423 0.2423 0.2423
Y2 0.7577 0.7577 0.7577
Cd1 0.5000 0.5000 0.5000



3.
LaY2Cd | GGA-PBEsol | relaxed

## Properties
* DOS at the Fermi energy: 5.13 states/eV/f.u.
* formation energy from the elements: -0.15 eV/atom
* space group: Immm

Cell: 6.5765 6.5765 6.5765 Å, 146.74 130.13 61.28°
Fractional coordinates of all 4 atoms:
La1 0.0000 0.0000 0.0000
Y1 0.2778 0.7778 0.5000
Y2 0.7222 0.2222 0.5000
Cd1 0.5000 0.5000 0.0000



4.
LaY2Cd | GGA-PBEsol | relaxed

## Properties
* DOS at the Fermi energy: 5.14 states/eV/f.u.
* formation energy from the elements: -0.14 eV/atom
* space group: P4mm

Cell: 3.6162 3.6162 8.9987 Å, 90.00 90.00 90.00°
Fractional coordinates of all 4 atoms:
La1 0.0000 0.0000 0.0000
Y1 0.0000 0.0000 0.5500
Y2 0.5000 0.5000 0.2832
Cd1 0.5000 0.5000 0.7580



5.
La2YCd2 | GGA-PBEsol | relaxed

## Properties
* DOS at the Fermi energy: 6.75 states/eV/f.u.
* formation energy from the elements: -0.18 eV/atom
* space group: P4/mbm

Cell: 8.8976 8.8976 3.7539 Å, 90.00 90.00 90.00°
Fractional coordinates of all 10 atoms:
La1 0.1740 0.3260 0.0000
La2 0.3260 0.8260 0.0000
La3 0.6740 0.1740 0.0000
La4 0.8260 0.6740 0.0000
Y1 0.0000 0.0000 0.5000
Y2 0.5000 0.5000 0.5000
Cd1 0.1220 0.6220 0.5000
Cd2 0.3780 0.1220 0.5000
Cd3 0.6220 0.8780 0.5000
Cd4 0.8780 0.3780 0.5000



6.
LaY2Cd | GGA-PBEsol | relaxed

## Properties
* DOS at the Fermi energy: 4.36 states/eV/f.u.
* formation energy from the elements: -0.14 eV/atom
* space group: Imm2

Cell: 6.6252 6.6252 6.6252 Å, 146.88 132.19 59.39°
Fractional coordinates of all 4 atoms:
La1 0.0000 0.0000 0.0000
Y1 0.2789 0.7789 0.5000
Y2 0.5554 0.5554 0.0000
Cd1 0.7667 0.2667 0.5000



7.
LaY2Cd2 | GGA-PBEsol | relaxed

## Properties
* DOS at the Fermi energy: 6.21 states/eV/f.u.
* formation energy from the elements: -0.22 eV/atom
* space group: P4/mbm

Cell: 8.6264 8.6264 3.7422 Å, 90.00 90.00 90.00°
Fractional coordinates of all 10 atoms:
La1 0.0000 0.0000 0.0000
La2 0.5000 0.5000 0.0000
Y1 0.1704 0.3296 0.5000
Y2 0.3296 0.8296 0.5000
Y3 0.6704 0.1704 0.5000
Y4 0.8296 0.6704 0.5000
Cd1 0.1252 0.6252 0.0000
Cd2 0.3748 0.1252 0.0000
Cd3 0.6252 0.8748 0.0000
Cd4 0.8748 0.3748 0.0000



8.
LaY2Cd | GGA-PBEsol | relaxed

## Properties
* DOS at the Fermi energy: 4.65 states/eV/f.u.
* formation energy from the elements: -0.11 eV/atom
* space group: I-4m2

Cell: 5.9700 5.9700 5.9700 Å, 132.85 132.85 68.89°
Fractional coordinates of all 4 atoms:
La1 0.0000 0.0000 0.0000
Y1 0.5000 0.5000 0.0000
Y2 0.7500 0.2500 0.5000
Cd1 0.2500 0.7500 0.5000



9.
La2ZnCd | GGA-PBEsol | relaxed

## Properties
* energy above the most stable polymorph in this dataset: 0.0469 eV/atom
* DOS at the Fermi energy: 3.11 states/eV/f.u.
* formation energy from the elements: -0.26 eV/atom
* space group: Imm2

Cell: 6.2171 6.2171 6.2171 Å, 145.10 130.39 62.09°
Fractional coordinates of all 4 atoms:
La1 0.0000 0.0000 0.0000
La2 0.7165 0.2165 0.5000
Zn1 0.2525 0.7525 0.5000
Cd1 0.4392 0.4392 0.0000



10.
LaZnCd2 | GGA-PBEsol | relaxed

## Properties
* DOS at the Fermi energy: 1.50 states/eV/f.u.
* formation energy from the elements: -0.31 eV/atom
* space group: F-43m

Cell: 5.0278 5.0278 5.0278 Å, 60.00 60.00 60.00°
Fractional coordinates of all 4 atoms:
La1 0.0000 0.0000 0.0000
Zn1 0.2500 0.2500 0.2500
Cd1 0.5000 0.5000 0.5000
Cd2 0.7500 0.7500 0.7500



11.
La2ZnCd | GGA-PBEsol | relaxed

## Properties
* energy above the most stable polymorph in this dataset: 0.0000 eV/atom
* DOS at the Fermi energy: 3.32 states/eV/f.u.
* formation energy from the elements: -0.31 eV/atom
* space group: P4/mmm

Cell: 3.7702 3.7702 7.5140 Å, 90.00 90.00 90.00°
Fractional coordinates of all 4 atoms:
La1 0.0000 0.0000 0.2293
La2 0.0000 0.0000 0.7707
Zn1 0.5000 0.5000 0.0000
Cd1 0.5000 0.5000 0.5000



12.
LaZnCd2 | GGA-PBEsol | relaxed

## Properties
* DOS at the Fermi energy: 2.43 states/eV/f.u.
* formation energy from the elements: 0.04 eV/atom
* space group: R-3m

Cell: 9.5862 9.5862 9.5862 Å, 20.56 20.56 20.56°
Fractional coordinates of all 4 atoms:
La1 0.0000 0.0000 0.0000
Zn1 0.5000 0.5000 0.5000
Cd1 0.2363 0.2363 0.2363
Cd2 0.7637 0.7637 0.7637



13.
La2ZnCd | GGA-PBEsol | relaxed

## Properties
* energy above the most stable polymorph in this dataset: 0.2499 eV/atom
* DOS at the Fermi energy: 3.57 states/eV/f.u.
* formation energy from the elements: -0.06 eV/atom
* space group: C2/m

Cell: 5.3139 5.3139 6.3652 Å, 101.10 101.10 39.87°
Fractional coordinates of all 4 atoms:
La1 0.2450 0.2450 0.2317
La2 0.7550 0.7550 0.7683
Zn1 0.5000 0.5000 0.0000
Cd1 0.0000 0.0000 0.5000



14.
LaZn2Cd | GGA-PBEsol | relaxed

## Properties
* DOS at the Fermi energy: 2.37 states/eV/f.u.
* formation energy from the elements: -0.14 eV/atom
* space group: P4/mmm

Cell: 3.3514 3.3514 7.3848 Å, 90.00 90.00 90.00°
Fractional coordinates of all 4 atoms:
La1 0.0000 0.0000 0.0000
Zn1 0.5000 0.5000 0.2874
Zn2 0.5000 0.5000 0.7126
Cd1 0.0000 0.0000 0.5000



15.
La2ZnCd | GGA-PBEsol | relaxed

## Properties
* energy above the most stable polymorph in this dataset: 0.0219 eV/atom
* DOS at the Fermi energy: 3.31 states/eV/f.u.
* formation energy from the elements: -0.29 eV/atom
* space group: Pmm2

Cell: 3.6731 5.1303 5.4937 Å, 90.00 90.00 90.00°
Fractional coordinates of all 4 atoms:
La1 0.0000 0.0000 0.0000
La2 0.0000 0.5000 0.3839
Zn1 0.5000 0.5000 0.8686
Cd1 0.5000 0.0000 0.5231